No. 1
Dy2ErPb | GGA-PBE | relaxed

## Properties
Calculated total energy   -36.694 eV/cell
Formation energy from the elements   -0.218 eV/atom
Space group   Cmcm
Energy relative to the lowest polymorph listed for this composition   0.0531 eV per atom

Cell: 4.176 6.609 9.490 Å, 90.00 90.00 108.40°
Positions (direct):
Er 0.056 0.112 0.750
Pb 0.249 0.498 0.250
Dy 0.631 0.262 0.447
Dy 0.369 0.738 0.553
Dy 0.369 0.738 0.947
Er 0.944 0.888 0.250
Pb 0.751 0.502 0.750
Dy 0.631 0.262 0.053

=====

No. 2
DyEr2Pb9 | GGA-PBE | relaxed

## Properties
Calculated total energy   -50.115 eV/cell
Formation energy from the elements   -0.251 eV/atom
Space group   P4/mmm

Cell: 4.869 4.869 14.629 Å, 90.00 90.00 90.00°
Positions (direct):
Pb 0.500 0.500 0.334
Pb 0.500 0.000 0.833
Er 0.000 0.000 0.333
Pb 0.000 0.500 0.833
Pb 0.500 0.000 0.500
Pb 0.000 0.500 0.167
Pb 0.500 0.500 0.666
Pb 0.000 0.500 0.500
Dy 0.000 0.000 0.000
Er 0.000 0.000 0.667
Pb 0.500 0.500 0.000
Pb 0.500 0.000 0.167

=====

No. 3
DyEr3Pb3 | GGA-PBE | relaxed

## Properties
Calculated total energy   -63.410 eV/cell
Formation energy from the elements   -0.327 eV/atom
Space group   R-3

Cell: 9.133 9.133 8.055 Å, 55.46 55.46 60.00°
Positions (direct):
Pb 0.471 0.086 0.755
Pb 0.914 0.313 0.245
Er 0.666 0.165 0.256
Er 0.914 0.666 0.256
Pb 0.529 0.914 0.245
Dy 0.669 0.669 0.992
Pb 0.086 0.687 0.755
Pb 0.313 0.529 0.245
Dy 0.331 0.331 0.008
Er 0.334 0.835 0.744
Er 0.165 0.914 0.256
Er 0.835 0.086 0.744
Er 0.086 0.334 0.744
Pb 0.687 0.471 0.755

=====

No. 4
Dy3ErPb2 | GGA-PBE | relaxed

## Properties
Calculated total energy   -28.277 eV/cell
Formation energy from the elements   -0.415 eV/atom
Space group   P-4m2

Cell: 4.552 4.552 8.553 Å, 90.00 90.00 90.00°
Positions (direct):
Er 0.500 0.500 0.000
Pb 0.500 0.000 0.715
Dy 0.000 0.500 0.659
Dy 0.000 0.000 0.000
Dy 0.500 0.000 0.341
Pb 0.000 0.500 0.285

=====

No. 5
Dy5ErPb4 | GGA-PBE | relaxed

## Properties
Calculated total energy   -44.382 eV/cell
Formation energy from the elements   -0.198 eV/atom
Space group   C2/m

Cell: 3.650 9.752 8.988 Å, 91.96 101.71 90.00°
Positions (direct):
Er 0.500 0.000 0.000
Dy 0.809 0.611 0.619
Dy 0.500 0.500 0.000
Pb 0.682 0.068 0.363
Dy 0.191 0.389 0.381
Dy 0.845 0.242 0.690
Dy 0.155 0.758 0.310
Pb 0.318 0.932 0.637
Pb 0.974 0.751 0.949
Pb 0.026 0.249 0.051

=====

No. 6
DyEr5Pb4 | GGA-PBE | relaxed

## Properties
Calculated total energy   -44.098 eV/cell
Formation energy from the elements   -0.185 eV/atom
Space group   C2/m

Cell: 3.640 9.716 8.950 Å, 92.57 101.73 90.00°
Positions (direct):
Er 0.192 0.388 0.384
Dy 0.500 0.000 0.000
Er 0.155 0.754 0.311
Pb 0.318 0.933 0.635
Pb 0.975 0.747 0.949
Er 0.808 0.612 0.616
Er 0.500 0.500 0.000
Pb 0.682 0.067 0.365
Pb 0.025 0.253 0.051
Er 0.845 0.246 0.689

=====

Look up the formation energy from the elements of the second one.
-0.251 eV/atom